Entry 1:
Computed, not measured: an optimized crystal structure of Cr3Os at the GGA-PBE level of DFT.

As for the calculated formation energy: 211 meV/atom.

It has space group Pnma (No. 62), with a = 4.736 Å, b = 8.252 Å, c = 5.132 Å, α = 90.00°, β = 90.00° and γ = 90.00°. Symmetry generates all atoms from Cr at (0.047, 0.250, 0.116), Cr at (0.233, 0.513, 0.873) and Os at (0.039, 0.250, 0.621).

***

Entry 2:
Computed, not measured: an optimized crystal structure of LaCu2PtRh at the GGA-PBE level of DFT.

As for the calculated formation energy: 1345 meV/atom.

It has space group P4/mmm (No. 123), with a = 4.983 Å, b = 4.983 Å, c = 4.724 Å, α = 90.00°, β = 90.00° and γ = 90.00°. Symmetry generates all atoms from La at (0.000, 0.000, 0.000), Cu at (0.000, 0.500, 0.000), Pt at (0.500, 0.500, 0.500) and Rh at (0.000, 0.000, 0.500).